# 1
DFT (PBE) results for a geometry-optimized Pm2SiRh3 structure.

Energy relative to the elements, uncorrected   -0.883 eV per atom
Total moment   0.00 μB/cell
ρ   9.5 g/cm3

Cell lengths 5.1156, 5.1156, 5.1156 Å; angles 67.12, 67.12, 67.12 degrees
Fractional positions:
Pm 0.6286 0.6286 0.6286
Rh 0.5000 0.0000 0.0000
Pm 0.3714 0.3714 0.3714
Si 0.0000 0.0000 0.0000
Rh 0.0000 0.0000 0.5000
Rh 0.0000 0.5000 0.0000

# 2
DFT (PBE) results for a geometry-optimized PmSi2Rh4 structure.

Energy relative to the elements, uncorrected   -0.855 eV per atom
Total moment   0.00 μB/cell
ρ   9.2 g/cm3

Cell lengths 4.0618, 6.4890, 16.7806 Å; angles 90.00, 90.00, 90.00 degrees
Fractional positions:
Rh 0.7500 0.1838 0.8168
Rh 0.7500 0.8556 0.4712
Si 0.2500 0.7346 0.5380
Si 0.2500 0.7654 0.0380
Rh 0.7500 0.3162 0.3168
Rh 0.2500 0.6838 0.6832
Rh 0.2500 0.2314 0.1987
Si 0.7500 0.2654 0.4620
Pm 0.7500 0.5039 0.1385
Si 0.2500 0.5277 0.2847
Pm 0.2500 0.4961 0.8615
Rh 0.7500 0.7686 0.8013
Si 0.7500 0.4723 0.7153
Si 0.7500 0.2346 0.9620
Rh 0.2500 0.3556 0.0288
Si 0.2500 0.9723 0.7847
Rh 0.7500 0.9952 0.0727
Rh 0.7500 0.5048 0.5727
Rh 0.7500 0.6444 0.9712
Rh 0.2500 0.0048 0.9273
Rh 0.2500 0.4952 0.4273
Pm 0.2500 0.0039 0.3615
Rh 0.2500 0.1444 0.5288
Rh 0.7500 0.7314 0.3013
Si 0.7500 0.0277 0.2153
Pm 0.7500 0.9961 0.6385
Rh 0.2500 0.8162 0.1832
Rh 0.2500 0.2686 0.6987

# 3
DFT (PBE) results for a geometry-optimized Pm3Si2Rh6 structure.

Energy relative to the elements, uncorrected   -0.772 eV per atom
Total moment   0.00 μB/cell
ρ   8.9 g/cm3

Cell lengths 8.1292, 8.1292, 8.1292 Å; angles 109.47, 109.47, 109.47 degrees
Fractional positions:
Rh 0.6873 0.3746 0.6873
Pm 0.2940 0.2940 0.0000
Rh 0.6873 0.0000 0.3127
Rh 0.3127 0.6254 0.3127
Rh 0.3127 0.3127 0.6254
Si 0.0000 0.0000 0.5000
Rh 0.3127 0.6873 0.0000
Pm 0.0000 0.7060 0.7060
Pm 0.2940 0.0000 0.2940
Rh 0.6873 0.6873 0.3746
Pm 0.7060 0.7060 0.0000
Rh 0.6873 0.3127 0.0000
Si 0.5000 0.0000 0.0000
Rh 0.3746 0.6873 0.6873
Si 0.5000 0.5000 0.5000
Rh 0.0000 0.6873 0.3127
Rh 0.6254 0.3127 0.3127
Rh 0.0000 0.3127 0.6873
Si 0.0000 0.5000 0.0000
Pm 0.0000 0.2940 0.2940
Pm 0.7060 0.0000 0.7060
Rh 0.3127 0.0000 0.6873

# 4
DFT (PBE) results for a geometry-optimized Pm3Si2Rh2 structure.

Energy relative to the elements, uncorrected   -0.876 eV per atom
Total moment   0.00 μB/cell
ρ   7.7 g/cm3

Cell lengths 5.6809, 7.9379, 13.3150 Å; angles 90.00, 90.00, 90.00 degrees
Fractional positions:
Pm 0.6363 0.7566 0.2500
Pm 0.8655 0.3878 0.6024
Si 0.8494 0.4032 0.2500
Pm 0.1345 0.8878 0.6024
Pm 0.8655 0.1122 0.3976
Si 0.8494 0.0968 0.7500
Pm 0.8655 0.3878 0.8976
Pm 0.6363 0.7434 0.7500
Pm 0.1345 0.6122 0.3976
Rh 0.3721 0.9695 0.0900
Pm 0.8655 0.1122 0.1024
Rh 0.3721 0.5305 0.5900
Rh 0.3721 0.9695 0.4100
Rh 0.6279 0.4695 0.0900
Si 0.6210 0.7500 0.0000
Pm 0.1345 0.6122 0.1024
Rh 0.6279 0.0305 0.5900
Si 0.6210 0.7500 0.5000
Rh 0.3721 0.5305 0.9100
Si 0.3790 0.2500 0.5000
Si 0.1506 0.5968 0.7500
Si 0.1506 0.9032 0.2500
Pm 0.3637 0.2566 0.2500
Pm 0.3637 0.2434 0.7500
Pm 0.1345 0.8878 0.8976
Rh 0.6279 0.4695 0.4100
Rh 0.6279 0.0305 0.9100
Si 0.3790 0.2500 0.0000

# 5
DFT (PBE) results for a geometry-optimized Pm2Si3Rh2 structure.

Energy relative to the elements, uncorrected   -0.908 eV per atom
Total moment   0.00 μB/cell
ρ   7.4 g/cm3

Cell lengths 4.1885, 6.9376, 9.1696 Å; angles 90.00, 103.20, 90.00 degrees
Fractional positions:
Pm 0.0556 0.7500 0.1111
Si 0.4393 0.5717 0.8787
Rh 0.3081 0.4518 0.6161
Si 0.5607 0.0717 0.1213
Si 0.7771 0.2500 0.5542
Si 0.5607 0.4283 0.1213
Pm 0.9444 0.2500 0.8889
Si 0.2229 0.7500 0.4458
Rh 0.6919 0.9518 0.3839
Si 0.4393 0.9283 0.8787
Pm 0.8428 0.7500 0.6855
Pm 0.1572 0.2500 0.3145
Rh 0.3081 0.0482 0.6161
Rh 0.6919 0.5482 0.3839

# 6
DFT (PBE) results for a geometry-optimized Pm4Si3Rh structure.

Energy relative to the elements, uncorrected   -0.757 eV per atom
Total moment   0.01 μB/cell
ρ   6.7 g/cm3

Cell lengths 4.3532, 3.9532, 10.9705 Å; angles 90.00, 90.00, 90.00 degrees
Fractional positions:
Rh 0.5000 0.5000 0.0718
Pm 0.0000 0.0000 0.1363
Si 0.0000 0.5000 0.5714
Pm 0.5000 0.0000 0.6433
Pm 0.5000 0.5000 0.3563
Si 0.0000 0.0000 0.4323
Si 0.5000 0.0000 0.9300
Pm 0.0000 0.5000 0.8586

# 7
DFT (PBE) results for a geometry-optimized PmSiSnRh2 structure.

Energy relative to the elements, uncorrected   -0.481 eV per atom
Total moment   0.00 μB/cell
ρ   7.0 g/cm3

Cell lengths 4.3101, 4.3101, 6.3570 Å; angles 90.00, 90.00, 90.00 degrees
Fractional positions:
Sn 0.5000 0.5000 0.6493
Si 0.0000 0.0000 0.0470
Pm 0.0000 0.0000 0.5109
Rh 0.0000 0.5000 0.8964
Rh 0.5000 0.0000 0.8964

# 8
DFT (PBE) results for a geometry-optimized PmSi2SnRh5 structure.

Energy relative to the elements, uncorrected   -0.585 eV per atom
Total moment   0.00 μB/cell
ρ   8.1 g/cm3

Cell lengths 4.1154, 4.1154, 10.0912 Å; angles 90.00, 90.00, 90.00 degrees
Fractional positions:
Si 0.5000 0.5000 0.2732
Rh 0.5000 0.0000 0.8331
Sn 0.0000 0.0000 0.0000
Rh 0.0000 0.5000 0.1669
Si 0.5000 0.5000 0.7268
Rh 0.5000 0.0000 0.1669
Rh 0.0000 0.5000 0.8331
Pm 0.0000 0.0000 0.5000
Rh 0.5000 0.5000 0.5000

# 9
DFT (PBE) results for a geometry-optimized Pm2Si3SnRh4 structure.

Energy relative to the elements, uncorrected   -0.938 eV per atom
Total moment   0.00 μB/cell
ρ   8.3 g/cm3

Cell lengths 4.2228, 4.2228, 10.1767 Å; angles 90.00, 90.00, 90.00 degrees
Fractional positions:
Pm 0.5000 0.0000 0.2456
Rh 0.0000 0.0000 0.0000
Si 0.0000 0.5000 0.1223
Rh 0.0000 0.5000 0.3544
Pm 0.0000 0.5000 0.7544
Si 0.5000 0.0000 0.8777
Rh 0.5000 0.5000 0.0000
Si 0.0000 0.0000 0.5000
Rh 0.5000 0.0000 0.6456
Sn 0.5000 0.5000 0.5000

# 10
DFT (PBE) results for a geometry-optimized Pm2SiSnRh6 structure.

Energy relative to the elements, uncorrected   -0.487 eV per atom
Total moment   0.00 μB/cell
ρ   8.4 g/cm3

Cell lengths 6.2000, 7.2102, 7.2419 Å; angles 50.64, 64.99, 90.23 degrees
Fractional positions:
Rh 0.8253 0.7441 0.9163
Rh 0.2604 0.7451 0.9187
Rh 0.7411 0.8161 0.5163
Sn 0.0000 0.0000 0.0000
Pm 0.7524 0.2520 0.4969
Pm 0.2476 0.7480 0.5031
Rh 0.2589 0.1839 0.4837
Rh 0.7396 0.2549 0.0813
Rh 0.1747 0.2559 0.0837
Si 0.5000 0.5000 0.0000